Density functional theory data (PBE) for crystalline TiNiMoS2 at its relaxed geometry.

a = 4.5629 Å, b = 4.7959 Å, c = 4.5629 Å
α = 90.00°, β = 90.00°, γ = 90.00°
Last column: magnetic moment on the atom in μB.
Atoms (fractional coordinates):
S: 0.0000 0.0000 0.5000  0.09
Ti: 0.0000 0.0000 0.0000  -0.15
S: 0.5000 0.0000 0.0000  0.07
Ni: 0.5000 0.5000 0.5000  0.72
Mo: 0.0000 0.5000 0.0000  1.94

**Density of states at the Fermi level**: 1.53 states/eV/atom
**Formation energy (no corrections)**: 0.875 eV/atom
**Magnetic moment**: 0.613 μB/atom
**E**: -28.39 eV per cell
**Symmetry**: P4/mmm